No. 1
The following is a GGA-PBE calculation of an optimized crystal structure of FeCo8S8, from Alexandria.

Calculated values
E, eV/cell: -106.5
E_form (uncorrected), eV per atom: -0.48
Crystal system: cubic
Space-group type: No. 225

Cell lengths 6.901, 6.901, 6.901 Å; angles 60.00, 60.00, 60.00 degrees
Atoms (fractional coordinates):
Fe  0.500  0.500  0.500
Co  0.126  0.622  0.126
Co  0.126  0.126  0.622
Co  0.622  0.126  0.126
Co  0.126  0.126  0.126
Co  0.874  0.378  0.874
Co  0.874  0.874  0.378
Co  0.378  0.874  0.874
Co  0.874  0.874  0.874
S  0.250  0.250  0.250
S  0.750  0.750  0.750
S  0.265  0.735  0.265
S  0.735  0.735  0.265
S  0.265  0.735  0.735
S  0.735  0.265  0.735
S  0.265  0.265  0.735
S  0.735  0.265  0.265

No. 2
The following is a GGA-PBE calculation of an optimized crystal structure of FeCo3S, from Alexandria.

Calculated values
E, eV/cell: -32.0
Polymorph energy (0 for the lowest one), meV/atom: 0
E_form (uncorrected), eV per atom: 0.37
Crystal system: cubic
Space-group type: No. 221

Cell lengths 4.071, 4.071, 4.071 Å; angles 90.00, 90.00, 90.00 degrees
Atoms (fractional coordinates):
S  0.000  0.000  0.000
Co  0.000  0.500  0.000
Co  0.000  0.000  0.500
Co  0.500  0.000  0.000
Fe  0.500  0.500  0.500

No. 3
The following is a GGA-PBE calculation of an optimized crystal structure of FeCoS3, from Alexandria.

Calculated values
E, eV/cell: -24.4
Polymorph energy (0 for the lowest one), meV/atom: 1130
E_form (uncorrected), eV per atom: 0.72
Crystal system: cubic
Space-group type: No. 221

Cell lengths 4.446, 4.446, 4.446 Å; angles 90.00, 90.00, 90.00 degrees
Atoms (fractional coordinates):
S  0.000  0.500  0.000
S  0.000  0.000  0.500
S  0.500  0.000  0.000
Co  0.500  0.500  0.500
Fe  0.000  0.000  0.000

No. 4
The following is a GGA-PBE calculation of an optimized crystal structure of FeCo2S4, from Alexandria.

Calculated values
E, eV/cell: -84.2
E_form (uncorrected), eV per atom: -0.41
Crystal system: orthorhombic
Space-group type: No. 74

Cell lengths 6.471, 6.597, 6.597 Å; angles 60.79, 60.63, 60.63 degrees
Atoms (fractional coordinates):
Fe  0.000  0.500  0.000
Fe  0.500  0.500  0.000
Co  0.127  0.123  0.623
Co  0.500  0.000  0.000
Co  0.500  0.500  0.500
Co  0.873  0.877  0.377
S  0.258  0.251  0.232
S  0.258  0.732  0.751
S  0.255  0.258  0.758
S  0.728  0.258  0.758
S  0.272  0.742  0.242
S  0.742  0.268  0.249
S  0.745  0.742  0.242
S  0.742  0.749  0.768

No. 5
The following is a GGA-PBE calculation of an optimized crystal structure of FeCo2S, from Alexandria.

Calculated values
E, eV/cell: -25.8
Polymorph energy (0 for the lowest one), meV/atom: 0
E_form (uncorrected), eV per atom: 0.25
Crystal system: cubic
Space-group type: No. 225

Cell lengths 4.054, 4.054, 4.054 Å; angles 60.00, 60.00, 60.00 degrees
Atoms (fractional coordinates):
S  0.000  0.000  0.000
Co  0.250  0.250  0.250
Co  0.750  0.750  0.750
Fe  0.500  0.500  0.500

No. 6
The following is a GGA-PBE calculation of an optimized crystal structure of FeCoSnS2, from Alexandria.

Calculated values
E, eV/cell: -24.8
E_form (uncorrected), eV per atom: 0.60
Crystal system: tetragonal
Space-group type: No. 123

Cell lengths 4.285, 5.333, 4.285 Å; angles 90.00, 90.00, 90.00 degrees
Atoms (fractional coordinates):
S  0.000  0.000  0.500
S  0.500  0.000  0.000
Co  0.000  0.000  0.000
Sn  0.000  0.500  0.000
Fe  0.500  0.500  0.500

No. 7
The following is a GGA-PBE calculation of an optimized crystal structure of Ta2FeCoS, from Alexandria.

Calculated values
E, eV/cell: -38.9
E_form (uncorrected), eV per atom: 0.90
Crystal system: tetragonal
Space-group type: No. 123

Cell lengths 4.655, 3.914, 4.655 Å; angles 90.00, 90.00, 90.00 degrees
Atoms (fractional coordinates):
S  0.000  0.500  0.000
Co  0.500  0.500  0.500
Fe  0.000  0.000  0.000
Ta  0.000  0.000  0.500
Ta  0.500  0.000  0.000

No. 8
The following is a GGA-PBE calculation of an optimized crystal structure of Ti4FeCoS8, from Alexandria.

Calculated values
E, eV/cell: -95.9
E_form (uncorrected), eV per atom: -1.13
Crystal system: triclinic
Space-group type: No. 2

Cell lengths 5.812, 6.468, 6.746 Å; angles 105.11, 90.02, 116.23 degrees
Atoms (fractional coordinates):
Ti  0.735  0.988  0.373
Ti  0.265  0.012  0.627
Ti  0.734  0.986  0.871
Ti  0.266  0.014  0.129
Fe  0.000  0.500  0.000
Co  0.000  0.500  0.500
S  0.958  0.738  0.306
S  0.442  0.726  0.057
S  0.958  0.736  0.812
S  0.444  0.728  0.557
S  0.042  0.264  0.188
S  0.558  0.274  0.943
S  0.042  0.262  0.694
S  0.556  0.272  0.443

No. 9
The following is a GGA-PBE calculation of an optimized crystal structure of Fe4CoSb, from Alexandria.

Calculated values
E, eV/cell: -43.8
E_form (uncorrected), eV per atom: 0.21
Crystal system: cubic
Space-group type: No. 216

Cell lengths 4.817, 4.817, 4.817 Å; angles 60.00, 60.00, 60.00 degrees
Atoms (fractional coordinates):
Fe  0.876  0.375  0.375
Fe  0.375  0.375  0.876
Fe  0.375  0.876  0.375
Fe  0.375  0.375  0.375
Co  0.000  0.000  0.000
Sb  0.750  0.750  0.750

No. 10
The following is a GGA-PBE calculation of an optimized crystal structure of FeCoSb4, from Alexandria.

Calculated values
E, eV/cell: -32.7
Polymorph energy (0 for the lowest one), meV/atom: 0
E_form (uncorrected), eV per atom: -0.10
Crystal system: monoclinic
Space-group type: No. 10

Cell lengths 3.276, 5.744, 6.480 Å; angles 89.86, 90.00, 90.00 degrees
Atoms (fractional coordinates):
Fe  0.000  0.000  0.000
Co  0.500  0.500  0.500
Sb  0.500  0.305  0.144
Sb  0.500  0.695  0.856
Sb  0.000  0.805  0.355
Sb  0.000  0.195  0.645

No. 11
The following is a GGA-PBE calculation of an optimized crystal structure of FeCoSb4, from Alexandria.

Calculated values
E, eV/cell: -63.4
Polymorph energy (0 for the lowest one), meV/atom: 165
E_form (uncorrected), eV per atom: 0.06
Crystal system: monoclinic
Space-group type: No. 14

Cell lengths 6.335, 6.378, 6.283 Å; angles 90.00, 93.33, 90.00 degrees
Atoms (fractional coordinates):
Fe  0.000  0.000  0.000
Fe  0.500  0.500  0.000
Co  0.500  0.000  0.500
Co  0.000  0.500  0.500
Sb  0.879  0.638  0.136
Sb  0.621  0.138  0.864
Sb  0.354  0.363  0.375
Sb  0.146  0.863  0.625
Sb  0.121  0.362  0.864
Sb  0.379  0.862  0.136
Sb  0.646  0.637  0.625
Sb  0.854  0.137  0.375

No. 12
The following is a GGA-PBE calculation of an optimized crystal structure of FeCo2Sb, from Alexandria.

Calculated values
E, eV/cell: -26.7
E_form (uncorrected), eV per atom: 0.03
Crystal system: tetragonal
Space-group type: No. 139

Cell lengths 4.374, 4.374, 4.374 Å; angles 125.93, 125.91, 80.02 degrees
Atoms (fractional coordinates):
Co  0.000  0.000  0.000
Co  0.500  0.500  0.000
Fe  0.250  0.750  0.500
Sb  0.750  0.250  0.500